Material: Sr2RePb
Method: DFT, GGA-PBE
State: optimized geometry

Volume: 32.48 A^3/atom
Total magnetic moment: 0.78 μB per formula unit
E: -4.38 eV/atom
Calculated formation energy: 0.4954 eV/atom

Cell and atoms, written as CIF:
```
data_Sr2RePb
_chemical_formula_sum 'Sr4 Re2 Pb2'
_cell_length_a 4.616
_cell_length_b 4.749
_cell_length_c 11.854
_cell_angle_alpha 90.00
_cell_angle_beta 90.00
_cell_angle_gamma 90.00
_symmetry_space_group_name_H-M 'A m m 2'
_symmetry_Int_Tables_number 38
_symmetry_space_group_name_Hall 'A 2 -2'
loop_
_atom_site_label
_atom_site_type_symbol
_atom_site_fract_x
_atom_site_fract_y
_atom_site_fract_z
Sr1 Sr 0.000 0.000 0.000
Sr2 Sr 0.500 0.000 0.287
Re1 Re 0.500 0.000 0.583
Pb1 Pb 0.000 0.000 0.706
```